Entry 1:
An optimized crystal structure of BeCdFe4. Source: the Alexandria database, functional PBE.

POSCAR file:
```
BeCdFe4
1.0
0.052 1.310 4.592
0.207 4.628 1.161
-3.809 2.155 1.912
Be Cd Fe
1 1 4
direct
0.750 0.750 0.750
0.000 0.000 0.000
0.376 0.872 0.376
0.872 0.376 0.376
0.376 0.376 0.872
0.376 0.376 0.376
```

Computed properties:
* volume: 12.84 Å³/atom
* Fermi-level density of states: 7.41 states/eV/cell
* spin magnetization: 7.6 Bohr magnetons per cell
* formation enthalpy at 0 K: 0.36 eV per atom

---

Entry 2:
An optimized crystal structure of Be2CdFe. Source: the Alexandria database, functional PBE.

POSCAR file:
```
Be2CdFe
1.0
4.887 -0.006 0.004
2.393 4.261 -0.004
-3.165 -2.942 2.284
Be Fe Cd
2 1 1
direct
0.005 0.005 0.000
0.230 0.730 0.500
0.771 0.271 0.500
0.494 0.494 0.000
```

Computed properties:
* volume: 11.89 Å³/atom
* Fermi-level density of states: 2.33 states/eV/cell
* spin magnetization: 1.7 Bohr magnetons per cell
* formation enthalpy at 0 K: 0.32 eV per atom

---

Entry 3:
An optimized crystal structure of Be2CdFeP. Source: the Alexandria database, functional PBE.

POSCAR file:
```
Be2CdFeP
1.0
-3.376 2.545 -0.189
-1.807 -2.178 2.957
1.738 2.522 2.920
P Be Fe Cd
1 2 1 1
direct
0.000 0.500 0.000
0.000 0.000 0.500
0.500 0.000 0.000
0.000 0.000 0.000
0.500 0.500 0.500
```

Computed properties:
* volume: 14.66 Å³/atom
* Fermi-level density of states: 1.54 states/eV/cell
* spin magnetization: 0.0 Bohr magnetons per cell
* formation enthalpy at 0 K: 0.35 eV per atom

---

Entry 4:
An optimized crystal structure of BeCdFePd2. Source: the Alexandria database, functional PBE.

POSCAR file:
```
BeCdFePd2
1.0
-0.679 -3.675 -3.213
0.238 -3.140 3.542
-4.875 0.346 0.634
Be Fe Pd Cd
1 1 2 1
direct
0.500 0.500 0.500
0.000 0.500 0.000
0.000 0.000 0.500
0.500 0.000 0.000
0.000 0.000 0.000
```

Computed properties:
* volume: 23.02 Å³/atom
* Fermi-level density of states: 7.14 states/eV/cell
* spin magnetization: 2.8 Bohr magnetons per cell
* formation enthalpy at 0 K: 1.51 eV per atom

---

Entry 5:
An optimized crystal structure of Be2CdFePt. Source: the Alexandria database, functional PBE.

POSCAR file:
```
Be2CdFePt
1.0
-1.547 -2.669 2.943
3.547 0.495 2.313
-2.031 3.731 2.316
Be Fe Pt Cd
2 1 1 1
direct
0.000 0.500 0.000
0.500 0.000 0.000
0.000 0.000 0.500
0.000 0.000 0.000
0.500 0.500 0.500
```

Computed properties:
* volume: 17.59 Å³/atom
* Fermi-level density of states: 3.64 states/eV/cell
* spin magnetization: 3.2 Bohr magnetons per cell
* distance to the lowest polymorph of the same formula: 0 meV per atom
* formation enthalpy at 0 K: 0.42 eV per atom

---

Entry 6:
An optimized crystal structure of Be2CdFePt. Source: the Alexandria database, functional PBE.

POSCAR file:
```
Be2CdFePt
1.0
4.242 0.000 0.000
0.000 4.752 0.000
0.000 0.000 4.242
Be Fe Pt Cd
2 1 1 1
direct
0.000 0.000 0.500
0.500 0.000 0.000
0.000 0.500 0.000
0.500 0.500 0.500
0.000 0.000 0.000
```

Computed properties:
* volume: 17.11 Å³/atom
* Fermi-level density of states: 2.81 states/eV/cell
* spin magnetization: 3.1 Bohr magnetons per cell
* distance to the lowest polymorph of the same formula: 878 meV per atom
* formation enthalpy at 0 K: 1.30 eV per atom

---

Entry 7:
An optimized crystal structure of Be2CdFeTe. Source: the Alexandria database, functional PBE.

POSCAR file:
```
Be2CdFeTe
1.0
-2.909 1.397 -2.879
-1.276 -4.767 -1.024
-3.007 0.138 3.105
Be Te Fe Cd
2 1 1 1
direct
0.000 0.000 0.500
0.500 0.000 0.000
0.500 0.500 0.500
0.000 0.000 0.000
0.000 0.500 0.000
```

Computed properties:
* volume: 18.85 Å³/atom
* Fermi-level density of states: 4.14 states/eV/cell
* spin magnetization: 2.0 Bohr magnetons per cell
* total DFT energy (no corrections): -3.123 eV/atom

---

Entry 8:
An optimized crystal structure of YBeCdFe2. Source: the Alexandria database, functional PBE.

POSCAR file:
```
YBeCdFe2
1.0
-3.654 -2.879 1.020
2.548 -4.094 -2.428
2.068 -1.162 4.130
Y Be Fe Cd
1 1 2 1
direct
0.000 0.500 0.000
0.500 0.500 0.500
0.000 0.000 0.500
0.500 0.000 0.000
0.000 0.000 0.000
```

Computed properties:
* volume: 24.49 Å³/atom
* Fermi-level density of states: 9.58 states/eV/cell
* spin magnetization: 5.2 Bohr magnetons per cell
* formation enthalpy at 0 K: 1.54 eV per atom

---

Entry 9:
An optimized crystal structure of BeZn2CdFe. Source: the Alexandria database, functional PBE.

POSCAR file:
```
BeZn2CdFe
1.0
-0.503 -3.780 1.883
2.182 1.366 3.326
-3.601 1.375 1.798
Be Zn Fe Cd
1 2 1 1
direct
0.000 0.000 0.000
0.000 0.000 0.500
0.500 0.000 0.000
0.000 0.500 0.000
0.500 0.500 0.500
```

Computed properties:
* volume: 15.21 Å³/atom
* Fermi-level density of states: 2.10 states/eV/cell
* spin magnetization: 2.1 Bohr magnetons per cell
* formation enthalpy at 0 K: 0.39 eV per atom

---

Entry 10:
An optimized crystal structure of BeCdGa3. Source: the Alexandria database, functional PBE.

POSCAR file:
```
BeCdGa3
1.0
5.129 0.000 0.000
0.000 5.129 0.000
0.000 0.000 5.129
Be Ga Cd
1 3 1
direct
0.500 0.500 0.500
0.000 0.500 0.000
0.000 0.000 0.500
0.500 0.000 0.000
0.000 0.000 0.000
```

Computed properties:
* volume: 26.98 Å³/atom
* Fermi-level density of states: 3.21 states/eV/cell
* spin magnetization: 0.0 Bohr magnetons per cell
* distance to the lowest polymorph of the same formula: 742 meV per atom
* formation enthalpy at 0 K: 0.97 eV per atom

---

Entry 11:
An optimized crystal structure of Be2Cd2Ga. Source: the Alexandria database, functional PBE.

POSCAR file:
```
Be2Cd2Ga
1.0
-5.970 -5.081 -0.804
5.136 -5.956 -0.500
-0.098 -0.311 2.694
Be Ga Cd
4 2 4
direct
0.156 0.656 0.500
0.656 0.844 0.500
0.844 0.344 0.500
0.344 0.156 0.500
0.000 0.000 0.000
0.500 0.500 0.000
0.356 0.856 0.000
0.856 0.644 0.000
0.644 0.144 0.000
0.144 0.356 0.000
```

Computed properties:
* volume: 16.85 Å³/atom
* Fermi-level density of states: 2.91 states/eV/cell
* spin magnetization: 0.0 Bohr magnetons per cell
* distance to the lowest polymorph of the same formula: 119 meV per atom
* formation enthalpy at 0 K: 0.46 eV per atom

---

Entry 12:
An optimized crystal structure of BeCd2Ga2. Source: the Alexandria database, functional PBE.

POSCAR file:
```
BeCd2Ga2
1.0
6.370 0.000 0.000
0.000 6.370 0.000
0.000 0.000 4.681
Be Ga Cd
2 4 4
direct
0.000 0.000 0.000
0.500 0.500 0.000
0.350 0.850 0.000
0.850 0.650 0.000
0.650 0.150 0.000
0.150 0.350 0.000
0.172 0.672 0.500
0.672 0.828 0.500
0.828 0.328 0.500
0.328 0.172 0.500
```

Computed properties:
* volume: 19.00 Å³/atom
* Fermi-level density of states: 3.53 states/eV/cell
* spin magnetization: 0.0 Bohr magnetons per cell
* distance to the lowest polymorph of the same formula: 0 meV per atom
* formation enthalpy at 0 K: 0.24 eV per atom